Entry 1:
12
Lattice="5.727 -0.022 0.024 -2.881 4.950 0.024 -0.925 -1.602 5.562" Properties=species:S:1:pos:R:3 comment="PBE Na3Er2PdO6, relaxed" e_form_raw_ev_per_atom=-2.141 pbc="T T T"
Na 0.960 1.663 2.805
Er -0.040 3.309 0.024
Er 2.886 1.619 0.024
O 1.932 0.000 1.250
Pd 0.000 0.000 0.000
O -0.034 -0.058 4.454
O -0.011 3.326 4.361
O 2.887 1.652 4.361
O -0.966 1.674 1.250
Na 3.886 -0.027 2.805
O 1.955 3.384 1.157
Na -1.965 3.353 2.805



Entry 2:
10
Lattice="-5.614 5.985 1.802 -3.234 -0.709 -7.721 -3.016 -3.300 1.566" Properties=species:S:1:pos:R:3 comment="PBE BaSr2Cu2, relaxed" ef_ev_per_atom=-0.01 pbc="T T T"
Sr -7.941 1.736 -4.468
Sr -3.923 0.239 0.115
Cu -3.734 3.545 0.281
Ba -4.424 2.638 -2.960
Cu -1.866 0.347 -2.863
Ba 0.000 0.000 0.000
Cu -6.981 4.929 -3.056
Cu -5.114 1.731 -6.200
Sr -7.281 3.111 -0.301
Sr -4.582 -1.135 -4.053



Entry 3:
4
Lattice="3.081 0.000 0.000 0.000 3.080 0.000 0.000 0.000 8.539" Properties=species:S:1:pos:R:3 comment="PBE Si2TeP, relaxed" e_form_raw_ev_per_atom=0.474 pbc="T T T"
Te 1.540 1.540 2.135
Si 0.000 0.000 7.740
P 1.540 1.540 6.404
Si 0.000 0.000 5.069



Entry 4:
3
Lattice="3.395 0.000 0.000 0.000 5.622 0.000 0.000 -2.811 4.868" Properties=species:S:1:pos:R:3 comment="PBE CeBiPb, relaxed" ef_ev_per_atom=-0.26 pbc="T T T"
Pb 0.574 0.000 3.246
Bi 0.558 0.000 0.000
Ce 2.263 2.811 1.623



Entry 5:
3
Lattice="-3.524 -2.905 0.217 -0.920 -2.190 3.907 -3.724 1.100 2.415" Properties=species:S:1:pos:R:3 comment="PBE KNiRu, relaxed" ef_ev_per_atom=2.30 pbc="T T T"
Ru -4.084 -1.998 3.270
Ni 0.000 0.000 0.000
K -2.042 -0.999 1.635



Entry 6:
12
Lattice="3.913 -0.020 0.000 0.042 5.399 -0.005 0.001 0.009 8.169" Properties=species:S:1:pos:R:3 comment="PBE BaTb2UO8, relaxed" e_form_raw_ev_per_atom=-3.002 pbc="T T T"
O 0.012 1.319 1.698
Tb 1.977 2.691 1.747
Ba 0.000 0.005 4.085
O 3.943 4.065 1.695
O 3.944 4.069 6.466
O 1.987 4.143 8.165
Tb 1.978 2.697 6.416
U 0.000 0.000 0.000
O 0.012 1.323 6.469
O 1.969 1.246 -0.001
O 1.952 1.942 4.083
O 2.004 3.446 4.081



Q: Which raw total energy values were calculated for the entries above? A: -6.143; -2.707; -4.376; -4.768; -3.081; -8.180, in eV/atom.
Q: Which calculated density values were calculated for the entries above? A: 6.4; 4.4; 4.4; 9.9; 4.9; 7.9, in g/cm3.